[1]
Sb2Pd6Pb after structural relaxation, computed with GGA-PBE.

volume: 18.03 Å³/atom
uncorrected formation energy: -0.363 eV/atom
magnetization: 0.00 μB/cell

Lattice parameters (Å, degrees): 7.6042 7.6042 3.2404 90.00 90.00 120.00
Closest atoms and distances in Å follow each position.
Sites, in units of the cell vectors:
Sb (0.3333, 0.6667, 0.0000)  9 Pd 2.65-2.90
Sb (0.6667, 0.3333, 0.0000)  9 Pd 2.65-2.90
Pd (0.0000, 0.3722, 0.5000)  1 Pb 2.83, 4 Sb 2.90, 6 Pd 2.94-3.08
Pd (0.0000, 0.6941, 0.0000)  2 Sb 2.65, 2 Pb 2.83, 2 Pd 2.94
Pd (0.3059, 0.3059, 0.0000)  2 Sb 2.65, 2 Pb 2.83, 2 Pd 2.94
Pd (0.3722, 0.0000, 0.5000)  1 Pb 2.83, 4 Sb 2.90, 6 Pd 2.94-3.08
Pd (0.6278, 0.6278, 0.5000)  1 Pb 2.83, 4 Sb 2.90, 6 Pd 2.94-3.08
Pd (0.6941, 0.0000, 0.0000)  2 Sb 2.65, 2 Pb 2.83, 2 Pd 2.94
Pb (0.0000, 0.0000, 0.5000)  9 Pd 2.83

***

[2]
SbPd2Pb after structural relaxation, computed with GGA-PBE.

volume: 21.82 Å³/atom
uncorrected formation energy: -0.361 eV/atom
magnetization: 0.00 μB/cell

Lattice parameters (Å, degrees): 8.3187 7.2509 5.7892 90.00 90.01 90.00
Closest atoms and distances in Å follow each position.
Sites, in units of the cell vectors:
Sb (0.1272, 0.0736, 0.2485)  6 Pd 2.72-2.76
Sb (0.1272, 0.4264, 0.7485)  6 Pd 2.72-2.76
Sb (0.8728, 0.5736, 0.2515)  6 Pd 2.72-2.76
Sb (0.8728, 0.9264, 0.7515)  6 Pd 2.72-2.76
Pd (0.1072, 0.7487, 0.0003)  4 Sb 2.74-2.76, 2 Pd 2.89, 2 Pb 2.91
Pd (0.1072, 0.7513, 0.5003)  4 Sb 2.74-2.76, 2 Pd 2.89, 2 Pb 2.91
Pd (0.3570, 0.2490, 0.4997)  2 Sb 2.72, 4 Pb 2.86-2.89, 2 Pd 2.89
Pd (0.3570, 0.2510, 0.9997)  2 Sb 2.72, 4 Pb 2.86-2.89, 2 Pd 2.89
Pd (0.6430, 0.7490, 0.0003)  2 Sb 2.72, 4 Pb 2.86-2.89, 2 Pd 2.89
Pd (0.6430, 0.7510, 0.5003)  2 Sb 2.72, 4 Pb 2.86-2.89, 2 Pd 2.89
Pd (0.8928, 0.2487, 0.4997)  4 Sb 2.74-2.76, 2 Pd 2.89, 2 Pb 2.91
Pd (0.8928, 0.2513, 0.9997)  4 Sb 2.74-2.76, 2 Pd 2.89, 2 Pb 2.91
Pb (0.3770, 0.5903, 0.2512)  6 Pd 2.86-2.91
Pb (0.3770, 0.9097, 0.7512)  6 Pd 2.86-2.91
Pb (0.6230, 0.0903, 0.2488)  6 Pd 2.86-2.91
Pb (0.6230, 0.4097, 0.7488)  6 Pd 2.86-2.91

***

[3]
Sb2PdPb2 after structural relaxation, computed with GGA-PBE.

volume: 27.93 Å³/atom
uncorrected formation energy: -0.070 eV/atom
ΔE to the lowest computed polymorph: 62.4 meV/atom
magnetization: 0.00 μB/cell

Lattice parameters (Å, degrees): 6.9929 6.9929 5.7116 90.00 90.00 90.00
Closest atoms and distances in Å follow each position.
Sites, in units of the cell vectors:
Sb (0.1472, 0.3528, 0.0000)  2 Pd 2.67, 1 Sb 2.91
Sb (0.3528, 0.8528, 0.0000)  2 Pd 2.67, 1 Sb 2.91
Sb (0.6472, 0.1472, 0.0000)  2 Pd 2.67, 1 Sb 2.91
Sb (0.8528, 0.6472, 0.0000)  2 Pd 2.67, 1 Sb 2.91
Pd (0.0000, 0.0000, 0.0000)  4 Sb 2.67
Pd (0.5000, 0.5000, 0.0000)  4 Sb 2.67
Pb (0.1890, 0.6890, 0.5000)  2 Sb 3.28, 4 Pb 3.60
Pb (0.3110, 0.1890, 0.5000)  2 Sb 3.28, 4 Pb 3.60
Pb (0.6890, 0.8110, 0.5000)  2 Sb 3.28, 4 Pb 3.60
Pb (0.8110, 0.3110, 0.5000)  2 Sb 3.28, 4 Pb 3.60

***

[4]
SbPd12Pb3 after structural relaxation, computed with GGA-PBE.

volume: 17.16 Å³/atom
uncorrected formation energy: -0.316 eV/atom
magnetization: 0.00 μB/cell

Lattice parameters (Å, degrees): 4.0987 4.0987 16.3467 90.00 90.00 90.00
Closest atoms and distances in Å follow each position.
Sites, in units of the cell vectors:
Sb (0.0000, 0.0000, 0.0000)  12 Pd 2.84-2.90
Pd (0.0000, 0.5000, 0.1202)  2 Sb 2.84, 8 Pd 2.84-2.91, 2 Pb 2.94
Pd (0.0000, 0.5000, 0.3738)  4 Pb 2.89-2.91, 8 Pd 2.90-2.92
Pd (0.0000, 0.5000, 0.6262)  4 Pb 2.89-2.91, 8 Pd 2.90-2.92
Pd (0.0000, 0.5000, 0.8798)  2 Sb 2.84, 8 Pd 2.84-2.91, 2 Pb 2.94
Pd (0.5000, 0.0000, 0.1202)  2 Sb 2.84, 8 Pd 2.84-2.91, 2 Pb 2.94
Pd (0.5000, 0.0000, 0.3738)  4 Pb 2.89-2.91, 8 Pd 2.90-2.92
Pd (0.5000, 0.0000, 0.6262)  4 Pb 2.89-2.91, 8 Pd 2.90-2.92
Pd (0.5000, 0.0000, 0.8798)  2 Sb 2.84, 8 Pd 2.84-2.91, 2 Pb 2.94
Pd (0.5000, 0.5000, 0.0000)  8 Pd 2.84, 4 Sb 2.90
Pd (0.5000, 0.5000, 0.2466)  4 Pb 2.90, 8 Pd 2.91-2.92
Pd (0.5000, 0.5000, 0.5000)  4 Pb 2.90, 8 Pd 2.91
Pd (0.5000, 0.5000, 0.7534)  4 Pb 2.90, 8 Pd 2.91-2.92
Pb (0.0000, 0.0000, 0.2491)  12 Pd 2.89-2.94
Pb (0.0000, 0.0000, 0.5000)  12 Pd 2.90-2.91
Pb (0.0000, 0.0000, 0.7509)  12 Pd 2.89-2.94

***

Number 1: DFT total energy -5.15 eV/atom. Number 2: DFT total energy -4.92 eV/atom. Number 3: DFT total energy -4.24 eV/atom. Number 4: DFT total energy -5.16 eV/atom.